1.
ZrC5 (PBE, relaxed); E above lowest polymorph = 1.4855 eV per atom; crystal system = cubic
1.0
-1.845 1.673 3.467
-4.231 0.557 0.108
-2.412 -2.452 2.528
C Zr
5 1
direct
0.591 0.226 0.591
0.250 0.250 0.250
0.591 0.591 0.591
0.591 0.591 0.226
0.226 0.591 0.591
0.000 0.000 0.000


2.
Zr3C2 (PBE, relaxed); E above lowest polymorph = 0.3782 eV per atom; crystal system = orthorhombic
1.0
-0.419 -3.089 6.566
-4.883 -2.382 2.991
1.437 -5.462 1.145
C Zr
4 6
direct
0.608 0.157 0.989
0.246 0.989 0.157
0.261 0.004 0.642
0.093 0.642 0.004
0.107 0.393 0.393
0.390 0.183 0.779
0.648 0.779 0.183
0.857 0.143 0.143
0.471 0.602 0.860
0.067 0.860 0.602


3.
Zr3C2 (PBE, relaxed); E above lowest polymorph = 0.1065 eV per atom; crystal system = trigonal
1.0
5.768 0.000 0.000
2.884 4.995 0.000
2.884 1.665 5.417
C Zr
4 6
direct
0.839 0.839 0.484
0.339 0.339 0.984
0.161 0.161 0.516
0.661 0.661 0.016
0.750 0.425 0.750
0.425 0.075 0.750
0.075 0.750 0.750
0.250 0.575 0.250
0.925 0.250 0.250
0.575 0.925 0.250


4.
Zr7C5 (PBE, relaxed); crystal system = tetragonal
1.0
-5.380 -3.154 3.632
2.059 -6.703 -1.710
4.472 4.766 3.062
Zr C
7 5
direct
0.992 0.700 0.292
0.408 0.700 0.708
0.700 0.992 0.292
0.457 0.457 0.000
0.974 0.474 0.500
0.474 0.974 0.500
0.700 0.408 0.708
0.342 0.768 0.000
0.777 0.777 0.000
0.342 0.342 0.574
0.768 0.342 0.000
0.768 0.768 0.426


5.
Zr4C3 (PBE, relaxed); E above lowest polymorph = 0.6353 eV per atom; crystal system = cubic
1.0
5.076 0.000 0.000
0.000 5.076 0.000
0.000 0.000 5.076
Zr C
4 3
direct
0.742 0.258 0.258
0.742 0.742 0.742
0.258 0.742 0.258
0.258 0.258 0.742
0.500 0.000 0.500
0.500 0.500 0.000
0.000 0.500 0.500


6.
ZrC2 (PBE, relaxed); crystal system = hexagonal
1.0
1.407 -2.436 0.000
1.407 2.436 0.000
0.000 0.000 8.672
C Zr
4 2
direct
0.667 0.333 0.528
0.667 0.333 0.972
0.333 0.667 0.472
0.333 0.667 0.028
0.333 0.667 0.750
0.667 0.333 0.250


7.
Zr2C (PBE, relaxed); crystal system = cubic
1.0
-3.339 -3.210 3.512
0.545 -4.520 -3.613
4.726 -1.746 2.897
C Zr
4 8
direct
0.500 0.000 0.500
0.500 0.500 0.000
0.000 0.500 0.500
0.000 0.000 0.000
0.354 0.146 0.146
0.854 0.146 0.354
0.854 0.354 0.854
0.146 0.854 0.646
0.146 0.646 0.146
0.646 0.854 0.854
0.646 0.646 0.354
0.354 0.354 0.646


8.
Zr2C (PBE, relaxed); crystal system = trigonal
1.0
-3.733 4.041 1.670
2.708 -3.211 3.926
3.994 3.609 0.196
Zr C
6 3
direct
0.000 0.332 0.257
0.668 0.668 0.257
0.332 0.000 0.257
0.000 0.668 0.743
0.668 0.000 0.743
0.332 0.332 0.743
0.000 0.000 0.000
0.667 0.333 0.500
0.333 0.667 0.500


9.
ZrC2 (PBE, relaxed); crystal system = tetragonal
1.0
-2.876 -1.474 0.482
1.383 -1.977 2.203
-0.723 2.208 2.436
C Zr
2 1
direct
0.000 0.500 0.500
0.500 0.000 0.500
0.000 0.000 0.000


10.
Zr8C (PBE, relaxed); crystal system = tetragonal
1.0
-5.085 5.085 1.789
5.085 -5.085 1.789
5.085 5.085 -1.789
Zr C
8 1
direct
0.667 0.000 0.667
0.354 0.354 0.709
0.354 0.646 0.000
0.646 0.354 0.000
0.333 0.000 0.333
0.000 0.667 0.667
0.646 0.646 0.291
0.000 0.333 0.333
0.000 0.000 0.000


11.
ZrC2 (PBE, relaxed); crystal system = trigonal
1.0
-3.157 -1.306 3.157
-1.806 -3.606 2.319
-0.631 -1.902 4.198
C Zr
2 1
direct
0.517 0.517 0.517
0.817 0.817 0.817
0.999 0.999 0.999


12.
Zr5C (PBE, relaxed); E above lowest polymorph = 1.3450 eV per atom; crystal system = cubic
1.0
0.000 4.034 4.034
4.034 0.000 4.034
4.034 4.034 0.000
Zr C
5 1
direct
0.623 0.623 0.623
0.250 0.250 0.250
0.623 0.131 0.623
0.623 0.623 0.131
0.131 0.623 0.623
0.000 0.000 0.000


We obtain formation energy from the elements values of 2.072, -0.321, -0.593, 0.682, -0.038, 0.494, -0.293, -0.498, 0.934, 0.330, 0.642, 1.284 eV/atom for the records listed above, in that order.
We obtain density values of 4.6, 6.1, 6.3, 4.5, 5.1, 6.4, 6.6, 6.3, 5.3, 6.7, 6.5, 5.9 g cm⁻³ for the records listed above, in that order.